5
Lattice="5.052 0.000 0.000 0.000 5.052 0.000 0.000 0.000 4.229" Properties=species:S:1:pos:R:3 comment="GGA-PBE ZrCoAu2Br, relaxed" formation_energy_uncorrected_ev_per_atom=1.0173 dos_at_fermi_per_ev_fu=12.95 pbc="T T T"
Zr 0.000 0.000 0.000
Co 2.526 2.526 0.000
Au 0.000 2.526 2.114
Au 2.526 0.000 2.114
Br 2.526 2.526 2.114